Computed, not measured: an optimized crystal structure of Nb4Bi3W2N3 at the PBE-GGA level of DFT.

For the final energy, the calculation gives -8.643 eV/atom.

Lattice parameters (Å, degrees): 10.3251 5.9651 13.7366 90.00 104.47 90.00
Last column: nearest neighbours and their distance in Å.
Space group C2/c (No. 15)
One atom of each set of equivalent atoms:
Nb1 0.1075 0.0822 0.0726 [8 per cell]  3 N 2.21-2.24
Nb2 0.2254 0.0836 0.4275 [8 per cell]  3 N 2.21-2.24
Bi1 0.0000 0.0888 0.7500 [4 per cell]  4 Nb 3.09-3.10, 2 W 3.15, 2 Bi 3.39
Bi2 0.1641 0.4192 0.2504 [8 per cell]  4 Nb 3.09-3.10, 2 W 3.14-3.16, 2 Bi 3.39
W1 0.0625 0.4160 0.9357 [8 per cell]  3 N 2.13-2.16
N1 0.0812 0.2561 0.4999 [8 per cell]  2 W 2.13, 4 Nb 2.21-2.24
N2 0.2500 0.2500 0.0000 [4 per cell]  2 W 2.16, 4 Nb 2.21